# PBEsol CoNiMo2, optimized geometry
# Crystal system: tetragonal
# Energy relative to the lowest polymorph listed for this composition (meV/atom): 29
# DFT total energy (hartree per atom): -0.3440
# Formation energy (eV per formula unit): -0.02
data_CoNiMo2
_space_group_name_H-M_alt 'P 1'
_space_group_IT_number 1
_space_group_name_Hall 'P 1'
_cell_length_a 3.6942
_cell_length_b 3.6942
_cell_length_c 3.6885
_cell_angle_alpha 90.00
_cell_angle_beta 90.00
_cell_angle_gamma 90.00
loop_
_atom_site_label
_atom_site_type_symbol
_atom_site_fract_x
_atom_site_fract_y
_atom_site_fract_z
Co1 Co 0.0000 0.0000 0.0000
Ni1 Ni 0.5000 0.5000 0.0000
Mo1 Mo 0.0000 0.5000 0.5000
Mo2 Mo 0.5000 0.0000 0.5000